A plane-wave DFT calculation with GGA-PBE was carried out for Sc2AsIr after structural relaxation.

abc: 7.143 7.143 6.269
angles: 90.00 90.00 90.00
Space group I-42d (No. 122)
One atom of each set of equivalent atoms:
Sc 0.236 0.250 0.125
As 0.000 0.000 0.500
Ir 0.000 0.000 0.000

**E**: -113.29 eV for the cell shown
**Excess energy over the best structure of this formula in the dataset**: 522 meV per atom
**Formation enthalpy at 0 K**: -51.8 kJ per mole of atoms